{
  "formula": "Nd5Te2Ir2",
  "functional": "GGA-PBE",
  "state": "optimized geometry",
  "magnetic_moment_mub_per_cell": 0.00,
  "final_energy_ev_per_cell": -113.33,
  "volume_a3_per_atom": 28.89,
  "cell": [[8.028, 0.000, 0.000], [0.000, 7.186, -3.694], [0.000, 0.072, 8.976]],
  "species": ["Ir", "Ir", "Ir", "Ir", "Te", "Te", "Te", "Te", "Nd", "Nd", "Nd", "Nd", "Nd", "Nd", "Nd", "Nd", "Nd", "Nd"],
  "fractional_positions": [[0.138, 0.639, 0.000], [0.862, 0.361, 0.000], [0.362, 0.139, 0.000], [0.638, 0.861, 0.000], [0.000, 0.208, 0.415], [0.500, 0.708, 0.415], [0.500, 0.292, 0.585], [0.000, 0.792, 0.585], [0.659, 0.279, 0.235], [0.341, 0.956, 0.235], [0.159, 0.221, 0.765], [0.841, 0.779, 0.235], [0.341, 0.721, 0.765], [0.159, 0.456, 0.235], [0.000, 0.000, 0.000], [0.659, 0.044, 0.765], [0.841, 0.544, 0.765], [0.500, 0.500, 0.000]]
}

---

{
  "formula": "Nd2TeIr",
  "functional": "GGA-PBE",
  "state": "optimized geometry",
  "magnetic_moment_mub_per_cell": 0.00,
  "final_energy_ev_per_cell": -25.46,
  "volume_a3_per_atom": 29.48,
  "de_polymorph_mev_per_atom": 20,
  "cell": [[-1.854, -3.789, 0.489], [-0.377, -2.624, -3.318], [5.954, -5.200, 0.717]],
  "species": ["Nd", "Nd", "Ir", "Te"],
  "fractional_positions": [[0.070, 0.070, 0.791], [0.264, 0.264, 0.208], [0.666, 0.666, 0.002], [0.500, 0.500, 0.499]]
}

---

{
  "formula": "Nd5TeIr2",
  "functional": "GGA-PBE",
  "state": "optimized geometry",
  "magnetic_moment_mub_per_cell": 0.00,
  "final_energy_ev_per_cell": -101.56,
  "volume_a3_per_atom": 28.05,
  "cell": [[8.100, 0.000, 0.000], [0.000, 8.100, 0.000], [-4.050, -4.050, 6.841]],
  "species": ["Nd", "Nd", "Nd", "Nd", "Nd", "Nd", "Nd", "Nd", "Nd", "Nd", "Ir", "Ir", "Ir", "Ir", "Te", "Te"],
  "fractional_positions": [[0.000, 0.000, 0.000], [0.500, 0.500, 0.000], [0.710, 0.210, 0.732], [0.978, 0.478, 0.268], [0.478, 0.290, 0.268], [0.290, 0.790, 0.268], [0.210, 0.022, 0.732], [0.790, 0.978, 0.268], [0.022, 0.522, 0.732], [0.522, 0.710, 0.732], [0.141, 0.359, 0.000], [0.641, 0.141, 0.000], [0.359, 0.859, 0.000], [0.859, 0.641, 0.000], [0.250, 0.250, 0.500], [0.750, 0.750, 0.500]]
}

---

{
  "formula": "Nd2TeIr",
  "functional": "GGA-PBE",
  "state": "optimized geometry",
  "magnetic_moment_mub_per_cell": 0.00,
  "final_energy_ev_per_cell": -51.03,
  "volume_a3_per_atom": 29.16,
  "de_polymorph_mev_per_atom": 6,
  "cell": [[-0.023, -1.595, 3.944], [3.093, -4.904, -1.965], [7.731, 4.181, 1.735]],
  "species": ["Nd", "Nd", "Nd", "Nd", "Te", "Te", "Ir", "Ir"],
  "fractional_positions": [[0.000, 0.000, 0.382], [0.000, 0.000, 0.814], [0.500, 0.500, 0.186], [0.500, 0.500, 0.618], [0.500, 0.000, 0.098], [0.000, 0.500, 0.902], [0.000, 0.500, 0.396], [0.500, 0.000, 0.604]]
}

---

{
  "formula": "Nd6TeIr3",
  "functional": "GGA-PBE",
  "state": "optimized geometry",
  "magnetic_moment_mub_per_cell": 0.00,
  "final_energy_ev_per_cell": -131.64,
  "volume_a3_per_atom": 29.77,
  "cell": [[-1.791, -2.415, -3.018], [6.517, 5.677, -8.411], [6.430, -9.590, 3.858]],
  "species": ["Nd", "Nd", "Nd", "Nd", "Nd", "Nd", "Nd", "Nd", "Nd", "Nd", "Nd", "Nd", "Ir", "Ir", "Ir", "Ir", "Ir", "Ir", "Te", "Te"],
  "fractional_positions": [[0.250, 0.536, 0.405], [0.250, 0.250, 0.218], [0.250, 0.069, 0.903], [0.750, 0.386, 0.032], [0.250, 0.855, 0.557], [0.750, 0.145, 0.443], [0.750, 0.750, 0.782], [0.750, 0.931, 0.097], [0.250, 0.307, 0.733], [0.250, 0.614, 0.968], [0.750, 0.464, 0.595], [0.750, 0.693, 0.267], [0.750, 0.477, 0.830], [0.750, 0.157, 0.068], [0.250, 0.313, 0.487], [0.750, 0.687, 0.513], [0.250, 0.843, 0.932], [0.250, 0.523, 0.170], [0.250, 0.928, 0.319], [0.750, 0.072, 0.681]]
}

---

{
  "formula": "Nd2TeIr",
  "functional": "GGA-PBE",
  "state": "optimized geometry",
  "magnetic_moment_mub_per_cell": 0.00,
  "final_energy_ev_per_cell": -25.54,
  "volume_a3_per_atom": 29.25,
  "de_polymorph_mev_per_atom": 0,
  "cell": [[4.247, 0.001, -0.001], [-2.122, 3.679, 0.001], [-2.114, -1.233, 7.486]],
  "species": ["Ir", "Nd", "Nd", "Te"],
  "fractional_positions": [[0.000, 0.000, 0.000], [0.474, 0.737, 0.210], [0.526, 0.263, 0.790], [0.000, 0.500, 0.500]]
}

---

{
  "formula": "Nd3TeIr",
  "functional": "GGA-PBE",
  "state": "optimized geometry",
  "magnetic_moment_mub_per_cell": 0.00,
  "final_energy_ev_per_cell": -61.20,
  "volume_a3_per_atom": 30.25,
  "de_polymorph_mev_per_atom": 45,
  "cell": [[-3.412, -2.532, -0.041], [1.517, -1.912, -8.043], [4.387, -5.987, 4.712]],
  "species": ["Nd", "Nd", "Nd", "Nd", "Nd", "Nd", "Te", "Te", "Ir", "Ir"],
  "fractional_positions": [[0.250, 0.930, 0.736], [0.250, 0.315, 0.593], [0.750, 0.308, 0.938], [0.750, 0.070, 0.264], [0.750, 0.685, 0.407], [0.250, 0.692, 0.062], [0.750, 0.618, 0.766], [0.250, 0.382, 0.234], [0.750, 0.088, 0.614], [0.250, 0.912, 0.386]]
}

---

{
  "formula": "Nd2TeIr",
  "functional": "GGA-PBE",
  "state": "optimized geometry",
  "magnetic_moment_mub_per_cell": 0.00,
  "final_energy_ev_per_cell": -25.00,
  "volume_a3_per_atom": 26.04,
  "de_polymorph_mev_per_atom": 135,
  "cell": [[3.700, 0.000, 0.000], [0.000, 3.700, 0.000], [0.000, 0.000, 7.610]],
  "species": ["Nd", "Nd", "Ir", "Te"],
  "fractional_positions": [[0.000, 0.000, 0.223], [0.000, 0.000, 0.777], [0.500, 0.500, 0.000], [0.500, 0.500, 0.500]]
}

---

{
  "formula": "Nd5Te4Ir",
  "functional": "GGA-PBE",
  "state": "optimized geometry",
  "magnetic_moment_mub_per_cell": 0.00,
  "final_energy_ev_per_cell": -57.80,
  "volume_a3_per_atom": 31.11,
  "cell": [[4.371, 0.000, -0.616], [-0.087, 4.370, -0.616], [0.063, 0.064, 16.264]],
  "species": ["Te", "Te", "Te", "Te", "Nd", "Nd", "Nd", "Nd", "Nd", "Ir"],
  "fractional_positions": [[0.191, 0.191, 0.382], [0.396, 0.396, 0.793], [0.604, 0.604, 0.207], [0.809, 0.809, 0.618], [0.915, 0.915, 0.831], [0.500, 0.500, 0.000], [0.291, 0.291, 0.583], [0.709, 0.709, 0.417], [0.085, 0.085, 0.169], [0.000, 0.000, 0.000]]
}

---

{
  "formula": "Nd3TeIr",
  "functional": "GGA-PBE",
  "state": "optimized geometry",
  "magnetic_moment_mub_per_cell": 0.00,
  "final_energy_ev_per_cell": -123.31,
  "volume_a3_per_atom": 29.78,
  "de_polymorph_mev_per_atom": 0,
  "cell": [[-2.730, -3.515, -0.039], [4.043, -3.207, 5.943], [-10.200, 7.798, 11.146]],
  "species": ["Nd", "Nd", "Nd", "Nd", "Nd", "Nd", "Nd", "Nd", "Nd", "Nd", "Nd", "Nd", "Ir", "Ir", "Ir", "Ir", "Te", "Te", "Te", "Te"],
  "fractional_positions": [[0.750, 0.988, 0.591], [0.250, 0.677, 0.705], [0.750, 0.636, 0.447], [0.750, 0.823, 0.205], [0.250, 0.864, 0.947], [0.750, 0.136, 0.053], [0.750, 0.488, 0.909], [0.250, 0.364, 0.553], [0.750, 0.323, 0.295], [0.250, 0.512, 0.091], [0.250, 0.012, 0.409], [0.250, 0.177, 0.795], [0.250, 0.260, 0.959], [0.750, 0.240, 0.459], [0.250, 0.760, 0.541], [0.750, 0.740, 0.041], [0.250, 0.121, 0.202], [0.750, 0.879, 0.798], [0.750, 0.379, 0.702], [0.250, 0.621, 0.298]]
}

---

{
  "formula": "Nd4TeIr",
  "functional": "GGA-PBE",
  "state": "optimized geometry",
  "magnetic_moment_mub_per_cell": 0.00,
  "final_energy_ev_per_cell": -68.12,
  "volume_a3_per_atom": 42.02,
  "cell": [[-3.874, -4.052, -0.886], [3.898, 2.396, -9.825], [5.019, -6.125, 6.065]],
  "species": ["Te", "Te", "Ir", "Ir", "Nd", "Nd", "Nd", "Nd", "Nd", "Nd", "Nd", "Nd"],
  "fractional_positions": [[0.829, 0.657, 0.707], [0.171, 0.343, 0.293], [0.884, 0.768, 0.323], [0.116, 0.232, 0.677], [0.197, 0.394, 0.002], [0.251, 0.502, 0.673], [0.749, 0.498, 0.327], [0.396, 0.792, 0.317], [0.803, 0.606, 0.998], [0.969, 0.938, 0.644], [0.604, 0.208, 0.683], [0.031, 0.062, 0.356]]
}

---

{
  "formula": "NdThIr",
  "functional": "GGA-PBE",
  "state": "optimized geometry",
  "magnetic_moment_mub_per_cell": 0.00,
  "e_form_ev_per_fu": -1.57,
  "final_energy_ev_per_cell": -22.61,
  "volume_a3_per_atom": 31.69,
  "de_polymorph_mev_per_atom": 20,
  "cell": [[6.404, 0.000, 0.000], [0.000, 4.140, 0.000], [0.000, -2.070, 3.586]],
  "species": ["Nd", "Th", "Ir"],
  "fractional_positions": [[0.751, 0.667, 0.333], [0.237, 0.333, 0.667], [0.011, 0.000, 0.000]]
}